Record 1
Compound: Ti2V2Ga5
Source: Alexandria via LeMat-Bulk
Functional: PBE
Structure: relaxed

Output
**E_form**: -0.1210 eV per atom

Cell and atoms, written as CIF:
```
data_Ti2V2Ga5
_cell_length_a 6.933
_cell_length_b 5.385
_cell_length_c 8.899
_cell_angle_alpha 107.61
_cell_angle_beta 112.93
_cell_angle_gamma 90.00
_symmetry_space_group_name_H-M 'P 1'
_symmetry_Int_Tables_number 1
_symmetry_space_group_name_Hall 'P 1'
loop_
_atom_site_label
_atom_site_type_symbol
_atom_site_fract_x
_atom_site_fract_y
_atom_site_fract_z
Ga1 Ga 0.215 0.787 0.500
Ga2 Ga 0.785 0.287 0.500
Ga3 Ga 0.414 0.452 0.328
Ga4 Ga 0.860 0.898 0.221
Ga5 Ga 0.586 0.123 0.672
Ga6 Ga 0.860 0.398 0.221
Ga7 Ga 0.140 0.677 0.779
Ga8 Ga 0.586 0.623 0.672
Ga9 Ga 0.140 0.177 0.779
Ga10 Ga 0.414 0.952 0.328
Ti1 Ti 0.000 0.037 0.000
Ti2 Ti 0.500 0.537 0.000
Ti3 Ti 0.164 0.287 0.500
Ti4 Ti 0.836 0.787 0.500
V1 V 0.397 0.066 0.057
V2 V 0.603 0.009 0.943
V3 V 0.840 0.509 0.943
V4 V 0.160 0.566 0.057
```

Record 2
Compound: Ti2VGa2
Source: Alexandria via LeMat-Bulk
Functional: PBE
Structure: relaxed

Output
**E_form**: -0.2627 eV per atom
**Offset from the most stable computed form**: 34 meV/atom

Cell and atoms, written as CIF:
```
data_Ti2VGa2
_cell_length_a 4.299
_cell_length_b 5.363
_cell_length_c 7.026
_cell_angle_alpha 90.00
_cell_angle_beta 107.81
_cell_angle_gamma 90.00
_symmetry_space_group_name_H-M 'P 1'
_symmetry_Int_Tables_number 1
_symmetry_space_group_name_Hall 'P 1'
loop_
_atom_site_label
_atom_site_type_symbol
_atom_site_fract_x
_atom_site_fract_y
_atom_site_fract_z
Ga1 Ga 0.597 0.073 0.193
Ga2 Ga 0.798 0.830 0.597
Ga3 Ga 0.403 0.573 0.807
Ga4 Ga 0.202 0.330 0.403
V1 V 0.394 0.085 0.788
V2 V 0.606 0.585 0.212
Ti1 Ti 0.808 0.319 0.616
Ti2 Ti 0.192 0.819 0.384
Ti3 Ti 0.008 0.328 0.016
Ti4 Ti 0.992 0.828 0.984
```